[1]
A crystal of Ba2ZrTiO6 relaxed with PBEsol, computed with SCAN.

Properties
DFT total energy in eV/atom: -19.8243

Unit cell a=5.7755 b=5.7755 c=5.7755 alpha=60.00 beta=60.00 gamma=60.00
Sites, in units of the cell vectors:
1 Ba 0.7500 0.7500 0.7500
2 O 0.7571 0.2429 0.2429
3 O 0.7571 0.2429 0.7571
4 O 0.2429 0.2429 0.7571
5 Zr 0.5000 0.5000 0.5000
6 O 0.2429 0.7571 0.2429
7 O 0.2429 0.7571 0.7571
8 Ba 0.2500 0.2500 0.2500
9 Ti 0.0000 0.0000 0.0000
10 O 0.7571 0.7571 0.2429

=====

[2]
A crystal of Ba4Zr3TiO12 relaxed with PBEsol, computed with SCAN.

Properties
DFT total energy in eV/atom: -20.6026

Unit cell a=4.1512 b=4.1512 c=16.5123 alpha=90.00 beta=90.00 gamma=90.00
Sites, in units of the cell vectors:
1 O 0.5000 0.0000 0.7544
2 Ba 0.0000 0.0000 0.1173
3 O 0.0000 0.5000 0.5000
4 O 0.5000 0.0000 0.5000
5 O 0.5000 0.5000 0.3725
6 O 0.5000 0.5000 0.8832
7 O 0.5000 0.5000 0.1168
8 Ba 0.0000 0.0000 0.8827
9 Ba 0.0000 0.0000 0.3724
10 O 0.5000 0.0000 0.2456
11 Ti 0.5000 0.5000 0.0000
12 Zr 0.5000 0.5000 0.5000
13 O 0.5000 0.0000 0.0000
14 Zr 0.5000 0.5000 0.2456
15 O 0.0000 0.5000 0.2456
16 O 0.5000 0.5000 0.6275
17 Zr 0.5000 0.5000 0.7544
18 O 0.0000 0.5000 0.0000
19 O 0.0000 0.5000 0.7544
20 Ba 0.0000 0.0000 0.6276

=====

[3]
A crystal of BaTl3O relaxed with PBEsol, computed with SCAN.

Properties
DFT total energy in eV/atom: -52.9429
Distance to the lowest polymorph of the same formula in meV per atom: 0.0

Unit cell a=5.1791 b=5.1791 c=5.1791 alpha=90.00 beta=90.00 gamma=90.00
Sites, in units of the cell vectors:
1 Tl 0.5000 0.0000 0.0000
2 Ba 0.5000 0.5000 0.5000
3 O 0.0000 0.0000 0.0000
4 Tl 0.0000 0.0000 0.5000
5 Tl 0.0000 0.5000 0.0000

=====

[4]
A crystal of BaTl2O4 relaxed with PBEsol, computed with SCAN.

Properties
DFT total energy in eV/atom: -31.2494
Distance to the lowest polymorph of the same formula in meV per atom: 26.6

Unit cell a=3.5325 b=5.9537 c=10.9135 alpha=90.00 beta=90.00 gamma=107.26
Sites, in units of the cell vectors:
1 O 0.7281 0.4561 0.1074
2 O 0.4361 0.8723 0.2500
3 Tl 0.6365 0.2731 0.9323
4 Tl 0.3635 0.7269 0.4323
5 Ba 0.1068 0.2137 0.2500
6 Tl 0.6365 0.2731 0.5677
7 O 0.0000 0.0000 0.5000
8 O 0.5639 0.1277 0.7500
9 Tl 0.3635 0.7269 0.0677
10 O 0.0000 0.0000 0.0000
11 O 0.2719 0.5439 0.8926
12 O 0.2719 0.5439 0.6074
13 O 0.7281 0.4561 0.3926
14 Ba 0.8932 0.7863 0.7500

=====

Question: Number 1 is which compound?
Answer: Ba2ZrTiO6

=====

Question: The lowest DFT total energy belongs to which entry?
Answer: BaTl3O